1.
## Tm6Ge2TeP3 (PBE-GGA)

Data for a relaxed Tm6Ge2TeP3 crystal. Values from VASP.

Cell and atoms, written as Quantum ESPRESSO input:
```
&SYSTEM
  ibrav = 0, nat = 12, ntyp = 4
/
ATOMIC_SPECIES
Tm 168.93 Tm.upf
Ge 72.64 Ge.upf
Te 127.60 Te.upf
P 30.97 P.upf
CELL_PARAMETERS angstrom
3.963 0.000 0.000
0.000 8.292 0.192
-1.981 -2.497 8.554
ATOMIC_POSITIONS crystal
Tm 0.325 0.920 0.650
Tm 0.665 0.593 0.330
Tm 0.675 0.080 0.350
Tm 0.999 0.273 0.998
Tm 0.001 0.727 0.002
Tm 0.335 0.407 0.670
Ge 0.833 0.665 0.666
Ge 0.167 0.335 0.334
Te 0.500 0.000 0.000
P 0.500 0.500 0.000
P 0.837 0.166 0.673
P 0.163 0.834 0.327
```

Values from the calculation:
The total energy is -5.882 eV per atom. Its crystal system is monoclinic. The space group is C2/m.



2.
## Tm6Ge2Te3P (PBE-GGA)

Data for a relaxed Tm6Ge2Te3P crystal. Values from VASP.

Cell and atoms, written as Quantum ESPRESSO input:
```
&SYSTEM
  ibrav = 0, nat = 12, ntyp = 4
/
ATOMIC_SPECIES
Tm 168.93 Tm.upf
Ge 72.64 Ge.upf
Te 127.60 Te.upf
P 30.97 P.upf
CELL_PARAMETERS angstrom
-2.408 -3.031 -1.506
5.619 -1.400 -6.171
3.846 -3.992 7.613
ATOMIC_POSITIONS crystal
Tm 0.342 0.900 0.684
Tm 0.673 0.564 0.347
Tm 0.658 0.100 0.316
Tm 0.008 0.228 0.015
Tm 0.992 0.772 0.985
Tm 0.327 0.436 0.653
Ge 0.834 0.669 0.668
Ge 0.166 0.331 0.332
Te 0.500 0.500 0.000
Te 0.834 0.166 0.668
Te 0.166 0.834 0.332
P 0.500 0.000 0.000
```

Values from the calculation:
The total energy is -5.508 eV per atom. Its crystal system is monoclinic. The space group is C2/m.



3.
## Tm6GeTe3P2 (PBE-GGA)

Data for a relaxed Tm6GeTe3P2 crystal. Values from VASP.

Cell and atoms, written as Quantum ESPRESSO input:
```
&SYSTEM
  ibrav = 0, nat = 12, ntyp = 4
/
ATOMIC_SPECIES
Tm 168.93 Tm.upf
Ge 72.64 Ge.upf
Te 127.60 Te.upf
P 30.97 P.upf
CELL_PARAMETERS angstrom
7.115 -0.003 0.002
-3.558 6.162 0.002
-1.185 -2.051 6.951
ATOMIC_POSITIONS crystal
Tm 0.929 0.592 0.787
Tm 0.734 0.734 0.212
Tm 0.071 0.408 0.213
Tm 0.592 0.929 0.787
Tm 0.266 0.266 0.788
Tm 0.408 0.071 0.213
Ge 0.000 0.000 0.000
Te 0.166 0.834 0.500
Te 0.834 0.166 0.500
Te 0.500 0.500 0.500
P 0.333 0.667 0.000
P 0.667 0.333 0.000
```

Values from the calculation:
The total energy is -5.696 eV per atom. Its crystal system is monoclinic. The space group is C2/m.



4.
## Y8GeTe3P3 (PBE-GGA)

Data for a relaxed Y8GeTe3P3 crystal. Values from VASP.

Cell and atoms, written as Quantum ESPRESSO input:
```
&SYSTEM
  ibrav = 0, nat = 15, ntyp = 4
/
ATOMIC_SPECIES
Y 88.91 Y.upf
Ge 72.64 Ge.upf
Te 127.60 Te.upf
P 30.97 P.upf
CELL_PARAMETERS angstrom
8.236 0.000 0.000
-4.118 7.132 -0.026
0.000 -4.730 7.009
ATOMIC_POSITIONS crystal
Y 0.264 0.527 0.291
Y 0.736 0.473 0.709
Y 0.757 0.513 0.281
Y 0.243 0.487 0.719
Y 0.757 0.024 0.281
Y 0.243 0.976 0.719
Y 0.268 0.024 0.281
Y 0.732 0.976 0.719
Ge 0.000 0.000 0.500
Te 0.000 0.000 0.000
Te 0.000 0.500 0.000
Te 0.500 0.500 0.000
P 0.500 0.000 0.500
P 0.500 0.500 0.500
P 0.000 0.500 0.500
```

Values from the calculation:
The total energy is -6.818 eV per atom. Its crystal system is trigonal. The space group is R-3m.



5.
## Y6GeTe3P2 (PBE-GGA)

Data for a relaxed Y6GeTe3P2 crystal. Values from VASP.

Cell and atoms, written as Quantum ESPRESSO input:
```
&SYSTEM
  ibrav = 0, nat = 12, ntyp = 4
/
ATOMIC_SPECIES
Y 88.91 Y.upf
Ge 72.64 Ge.upf
Te 127.60 Te.upf
P 30.97 P.upf
CELL_PARAMETERS angstrom
7.221 -0.002 0.001
-3.611 6.253 0.001
-1.203 -2.083 7.063
ATOMIC_POSITIONS crystal
Y 0.929 0.592 0.785
Y 0.734 0.734 0.214
Y 0.071 0.408 0.215
Y 0.592 0.929 0.785
Y 0.266 0.266 0.786
Y 0.408 0.071 0.215
Ge 0.000 0.000 0.000
Te 0.166 0.834 0.500
Te 0.834 0.166 0.500
Te 0.500 0.500 0.500
P 0.333 0.667 0.000
P 0.667 0.333 0.000
```

Values from the calculation:
The total energy is -6.764 eV per atom. Its crystal system is monoclinic. The space group is C2/m.



6.
## Y8GeTe4P3 (PBE-GGA)

Data for a relaxed Y8GeTe4P3 crystal. Values from VASP.

Cell and atoms, written as Quantum ESPRESSO input:
```
&SYSTEM
  ibrav = 0, nat = 16, ntyp = 4
/
ATOMIC_SPECIES
Y 88.91 Y.upf
Ge 72.64 Ge.upf
Te 127.60 Te.upf
P 30.97 P.upf
CELL_PARAMETERS angstrom
8.316 0.000 0.000
0.000 8.541 0.153
-4.158 -4.155 5.883
ATOMIC_POSITIONS crystal
Y 0.239 0.714 0.975
Y 0.239 0.714 0.479
Y 0.263 0.289 0.526
Y 0.736 0.714 0.975
Y 0.264 0.286 0.025
Y 0.737 0.711 0.474
Y 0.761 0.286 0.521
Y 0.761 0.286 0.025
Ge 0.000 0.500 0.000
Te 0.500 0.000 0.000
Te 0.500 0.000 0.500
Te 0.000 0.000 0.000
Te 0.000 0.000 0.500
P 0.500 0.500 0.000
P 0.500 0.500 0.500
P 0.000 0.500 0.500
```

Values from the calculation:
The total energy is -6.807 eV per atom. Its crystal system is trigonal. The space group is R-3m.



no.,formation energy from raw total energies (eV/atom)
1,-1.263
2,-1.267
3,-1.389
4,-1.352
5,-1.460
6,-1.486